#w
Below is crystalline VBS2N at its relaxed geometry, with properties calculated at the PBE level.

Structure (CIF):
```
data_VBS2N
_chemical_formula_sum 'V1 B1 S2 N1'
_cell_length_a 4.673
_cell_length_b 4.673
_cell_length_c 3.614
_cell_angle_alpha 90.00
_cell_angle_beta 90.00
_cell_angle_gamma 90.00
_symmetry_space_group_name_H-M 'P 4/m m m'
_symmetry_Int_Tables_number 123
_symmetry_space_group_name_Hall '-P 4 2'
loop_
_atom_site_label
_atom_site_fract_x
_atom_site_fract_y
_atom_site_fract_z
_atom_site_occupancy
V1 0.000 0.000 0.000 1
B1 0.500 0.500 0.500 1
S1 0.000 0.500 0.000 1
N1 0.000 0.000 0.500 1
```

DOS at the Fermi energy: 0.669 states/eV per atom



#x
Below is crystalline VBS2N at its relaxed geometry, with properties calculated at the PBE level.

Structure (CIF):
```
data_VBS2N
_chemical_formula_sum 'V1 B1 S2 N1'
_cell_length_a 4.970
_cell_length_b 4.970
_cell_length_c 2.674
_cell_angle_alpha 90.00
_cell_angle_beta 90.00
_cell_angle_gamma 90.00
_symmetry_space_group_name_H-M 'P 4/m m m'
_symmetry_Int_Tables_number 123
_symmetry_space_group_name_Hall '-P 4 2'
loop_
_atom_site_label
_atom_site_fract_x
_atom_site_fract_y
_atom_site_fract_z
_atom_site_occupancy
V1 0.000 0.000 0.000 1
B1 0.500 0.500 0.500 1
S1 0.000 0.500 0.500 1
N1 0.500 0.500 0.000 1
```

DOS at the Fermi energy: 0.640 states/eV per atom



Least stable structure: #w



#w
Below is crystalline YBSN2 at its relaxed geometry, with properties calculated at the PBE level.

Structure (CIF):
```
data_YBSN2
_chemical_formula_sum 'Y1 B1 S1 N2'
_cell_length_a 3.600
_cell_length_b 3.600
_cell_length_c 4.569
_cell_angle_alpha 90.00
_cell_angle_beta 90.00
_cell_angle_gamma 90.00
_symmetry_space_group_name_H-M 'P 4/m m m'
_symmetry_Int_Tables_number 123
_symmetry_space_group_name_Hall '-P 4 2'
loop_
_atom_site_label
_atom_site_fract_x
_atom_site_fract_y
_atom_site_fract_z
_atom_site_occupancy
Y1 0.000 0.000 0.000 1
B1 0.500 0.500 0.500 1
S1 0.500 0.500 0.000 1
N1 0.000 0.500 0.500 1
```

DOS at the Fermi energy: 0.563 states/eV per atom



#x
Below is crystalline YBSN2 at its relaxed geometry, with properties calculated at the PBE level.

Structure (CIF):
```
data_YBSN2
_chemical_formula_sum 'Y1 B1 S1 N2'
_cell_length_a 4.531
_cell_length_b 4.531
_cell_length_c 5.409
_cell_angle_alpha 90.00
_cell_angle_beta 90.00
_cell_angle_gamma 90.00
_symmetry_space_group_name_H-M 'P 4/m m m'
_symmetry_Int_Tables_number 123
_symmetry_space_group_name_Hall '-P 4 2'
loop_
_atom_site_label
_atom_site_fract_x
_atom_site_fract_y
_atom_site_fract_z
_atom_site_occupancy
Y1 0.000 0.000 0.000 1
B1 0.500 0.500 0.500 1
S1 0.000 0.000 0.500 1
N1 0.000 0.500 0.000 1
```

DOS at the Fermi energy: 0.410 states/eV per atom



Least stable structure: #x



#w
Below is crystalline ScB3N at its relaxed geometry, with properties calculated at the PBE level.

Structure (CIF):
```
data_ScB3N
_chemical_formula_sum 'Sc1 B3 N1'
_cell_length_a 3.625
_cell_length_b 3.625
_cell_length_c 3.625
_cell_angle_alpha 90.00
_cell_angle_beta 90.00
_cell_angle_gamma 90.00
_symmetry_space_group_name_H-M 'P m -3 m'
_symmetry_Int_Tables_number 221
_symmetry_space_group_name_Hall '-P 4 2 3'
loop_
_atom_site_label
_atom_site_fract_x
_atom_site_fract_y
_atom_site_fract_z
_atom_site_occupancy
Sc1 0.000 0.000 0.000 1
B1 0.000 0.500 0.500 1
N1 0.500 0.500 0.500 1
```

DOS at the Fermi energy: 0.521 states/eV per atom



#x
Below is crystalline ScB3N at its relaxed geometry, with properties calculated at the PBE level.

Structure (CIF):
```
data_ScB3N
_chemical_formula_sum 'Sc1 B3 N1'
_cell_length_a 4.554
_cell_length_b 4.554
_cell_length_c 4.554
_cell_angle_alpha 90.00
_cell_angle_beta 90.00
_cell_angle_gamma 90.00
_symmetry_space_group_name_H-M 'P m -3 m'
_symmetry_Int_Tables_number 221
_symmetry_space_group_name_Hall '-P 4 2 3'
loop_
_atom_site_label
_atom_site_fract_x
_atom_site_fract_y
_atom_site_fract_z
_atom_site_occupancy
Sc1 0.000 0.000 0.000 1
B1 0.000 0.000 0.500 1
N1 0.500 0.500 0.500 1
```

DOS at the Fermi energy: 0.708 states/eV per atom



Least stable structure: #x